[1]
Computed, not measured: an optimized crystal structure of Cs2CdTe2 at the PBE level of DFT.

It has space group I4/mmm (No. 139), with a = 4.6389 Å, b = 4.6389 Å, c = 23.1564 Å, α = 90.00°, β = 90.00° and γ = 90.00°. The asymmetric unit holds Cs at (0.0000, 0.0000, 0.1208), Cd at (0.0000, 0.0000, 0.5000) and Te at (0.0000, 0.5000, 0.2500).

Its density of states at the Fermi level is 6.81 states/eV per cell. The uncorrected formation energy is -1.74 eV/f.u. For the total energy, the calculation gives -0.07826 Ha/atom.

=====

[2]
Computed, not measured: an optimized crystal structure of La4B5C2 at the PBE level of DFT.

It has space group P2/m (No. 10), with a = 7.1446 Å, b = 3.6426 Å, c = 7.5167 Å, α = 90.00°, β = 97.71° and γ = 90.00°. The asymmetric unit holds La at (0.1020, 0.0000, 0.2312), La at (0.3468, 0.0000, 0.7228), B at (0.2483, 0.5000, 0.9750), B at (0.3709, 0.5000, 0.1710), B at (0.5000, 0.5000, 0.0000) and C at (0.0881, 0.5000, 0.5375).

Its density of states at the Fermi level is 4.89 states/eV per cell. Its energy relative to the elements is -0.027 eV per atom. For the total energy, the calculation gives -0.24001 Ha/atom.

=====

[3]
Computed, not measured: an optimized crystal structure of AlTlSiSn2 at the PBE level of DFT.

It has space group P4/mmm (No. 123), with a = 5.6480 Å, b = 5.6480 Å, c = 5.1419 Å, α = 90.00°, β = 90.00° and γ = 90.00°. The asymmetric unit holds Al at (0.0000, 0.0000, 0.0000), Tl at (0.0000, 0.0000, 0.5000), Si at (0.5000, 0.5000, 0.0000) and Sn at (0.0000, 0.5000, 0.5000).

Its density of states at the Fermi level is 3.74 states/eV per cell. The uncorrected formation energy is 5.65 eV/f.u. For the total energy, the calculation gives -0.10208 Ha/atom.

=====

[4]
Computed, not measured: an optimized crystal structure of TaCr2Fe2 at the PBE level of DFT.

It has space group P4/mbm (No. 127), with a = 6.8521 Å, b = 6.8521 Å, c = 2.6602 Å, α = 90.00°, β = 90.00° and γ = 90.00°. The asymmetric unit holds Ta at (0.0000, 0.0000, 0.0000), Cr at (0.1628, 0.3372, 0.5000) and Fe at (0.1318, 0.6318, 0.0000).

Its density of states at the Fermi level is 8.80 states/eV per cell. As for the excess energy over the best structure of this formula in the dataset: 0 meV/atom. Its energy relative to the elements is 0.152 eV per atom. For the total energy, the calculation gives -0.34739 Ha/atom.